Density functional theory data (PBE) for a relaxed Li2MnSi crystal.

Cell lengths 9.215, 9.215, 9.215 Å; angles 17.04, 17.04, 17.04 degrees
Fractional positions:
Li: 0.004 0.004 0.004
Li: 0.496 0.496 0.496
Mn: 0.250 0.250 0.250
Si: 0.750 0.750 0.750

Calculated values
Space-group type: R-3m, No. 166
Formation energy without anion corrections, meV/atom: 167
Magnetization, μB/atom: 0.909